This record from Alexandria via LeMat-Bulk describes a relaxed structure of InOs2RhW. The functional is PBE.

CIF file:
```
data_InOs2RhW
_space_group_name_H-M_alt 'P 1'
_space_group_IT_number 1
_cell_length_a 4.7186
_cell_length_b 4.8232
_cell_length_c 4.7186
_cell_angle_alpha 90.00
_cell_angle_beta 90.00
_cell_angle_gamma 90.00
loop_
_space_group_symop_operation_xyz
'x,y,z'
loop_
_atom_site_label
_atom_site_type_symbol
_atom_site_fract_x
_atom_site_fract_y
_atom_site_fract_z
_atom_site_occupancy
Rh1 Rh 0.5000 0.5000 0.5000 1
Os1 Os 0.5000 0.0000 0.0000 1
W1 W 0.0000 0.5000 0.0000 1
In1 In 0.0000 0.0000 0.0000 1
Os2 Os 0.0000 0.0000 0.5000 1
```

Calculated values
* energy relative to the elements: 1485 kJ/mol of formula units
* crystal system: tetragonal
* final energy: -30.11 eV/cell